VASP calculation (PBE) on a relaxed structure of Nb2Zn2Cu.

Cell: 6.326 6.326 3.948 Å, 90.00 90.00 90.00°
Atoms (fractional coordinates):
Nb 0.165 0.335 0.000
Nb 0.335 0.835 0.000
Nb 0.665 0.165 0.000
Nb 0.835 0.665 0.000
Zn 0.138 0.638 0.500
Zn 0.362 0.138 0.500
Zn 0.638 0.862 0.500
Zn 0.862 0.362 0.500
Cu 0.000 0.000 0.500
Cu 0.500 0.500 0.500

Summary:
The formation enthalpy at 0 K comes out at 0.1186 eV/atom. Its density of states at the Fermi level is 3.46 states/eV/f.u. The total energy comes out at -52.381 eV per cell. As for the spin magnetization: 0.000 μB/f.u.